4
Lattice="-0.566 -3.228 -0.997 3.377 -0.512 -0.260 0.143 -1.528 4.867" Properties=species:S:1:pos:R:3 comment="LiMo2Au | Alexandria via LeMat-Bulk | GGA-PBEsol | relaxed" e_form_ev_per_fu=1.7 rho_g_cm3=10.97 n_ef_per_ev_fu=2.75 dft_energy_ev_per_cell=-27.732 relative_energy_mev_per_atom=300.0 m_tot_mub_per_fu=0.000 pbc="T T T"
Au 1.405 -1.870 -0.628
Mo 0.040 -0.432 1.376
Li 1.477 -2.634 1.805
Mo 0.103 -1.096 3.491